1 | This record from Alexandria describes an optimized crystal structure of WSe2Br. The functional is PBE.

Results
Its total magnetic moment is 0.000 μB per atom.

Lattice parameters (Å, degrees): 3.2235 5.0924 11.1720 90.00 90.00 90.00
Space group Cmmm (No. 65)
Unique sites:
W 0.0000 0.0000 0.0000
Se 0.0000 0.5000 0.1807
Br 0.0000 0.0000 0.5000

2 | This record from Alexandria describes an optimized crystal structure of WSe2Br. The functional is PBE.

Results
Its total magnetic moment is 0.000 μB per atom.

Lattice parameters (Å, degrees): 2.6994 3.4102 10.4827 90.00 90.44 90.00
Space group P2/m (No. 10)
Unique sites:
W 0.0000 0.0000 0.0000
Se 0.0061 0.5000 0.1834
Br 0.5000 0.0000 0.5000

3 | This record from Alexandria describes an optimized crystal structure of WSe2Br. The functional is PBE.

Results
Its total magnetic moment is 0.000 μB per atom.

Lattice parameters (Å, degrees): 6.4327 7.1560 7.3670 69.32 70.78 64.99
Space group P1 (No. 1)
Unique sites:
W 0.0000 0.0000 0.0000
W 0.4162 0.8446 0.1438
Se 0.0948 0.1826 0.1646
Se 0.3288 0.6911 0.9339
Se 0.3817 0.5995 0.4361
Se 0.6457 0.0017 0.2501
Br 0.7982 0.8010 0.8706
Br 0.9521 0.2722 0.6931

4 | This record from Alexandria describes an optimized crystal structure of WSe2Br. The functional is PBE.

Results
Its total magnetic moment is 0.000 μB per atom.

Lattice parameters (Å, degrees): 6.9440 6.9440 9.9434 90.00 90.00 90.00
Space group I-42d (No. 122)
Unique sites:
W 0.0000 0.0000 0.0000
Se 0.1517 0.2500 0.1250
Br 0.0000 0.0000 0.5000

It is 3 that is the most stable of them.

1 | This record from Alexandria describes an optimized crystal structure of WSe2Br. The functional is PBE.

Results
Its total magnetic moment is 0.000 μB per atom.

Lattice parameters (Å, degrees): 6.4275 6.6545 7.0540 76.75 87.29 79.25
Space group P1 (No. 1)
Unique sites:
W 0.0000 0.0000 0.0000
W 0.4203 0.8433 0.1352
Se 0.0064 0.2515 0.7243
Se 0.1974 0.1417 0.2194
Se 0.2224 0.6730 0.9564
Se 0.6919 0.8496 0.8864
Br 0.4892 0.5665 0.4255
Br 0.7203 0.0300 0.2745

2 | This record from Alexandria describes an optimized crystal structure of WSe2Br. The functional is PBE.

Results
Its total magnetic moment is 0.000 μB per atom.

Lattice parameters (Å, degrees): 3.2785 3.2785 32.7458 90.00 90.00 120.00
Space group R-3m (No. 166, hexagonal axes)
Unique sites:
W 0.0000 0.0000 0.0000
Se 0.0000 0.0000 0.3861
Br 0.0000 0.0000 0.5000

It is 1 that is the most stable of them.